Entry 1:
Computed, not measured: crystalline Y2MnH at its relaxed geometry at the PBE level of DFT.

## Properties
The space group is I-42d (122). Its volume is 165 Å³ per cell. The polymorph energy (0 for the lowest one) is 0 meV per atom.

a b c (Å): 5.983 5.983 5.983
angles (deg): 110.60 110.60 107.24
Element x y z (fractional)
Y: 0.033 0.625 0.908
Y: 0.375 0.283 0.408
Y: 0.717 0.125 0.092
Y: 0.875 0.967 0.592
Mn: 0.250 0.750 0.500
Mn: 0.500 0.500 0.000
H: 0.000 0.000 0.000
H: 0.750 0.250 0.500

---

Entry 2:
Computed, not measured: crystalline Li5CuPd3 at its relaxed geometry at the PBE level of DFT.

## Properties
The space group is I4/mcm (140). The calculation puts the formation energy from the elements at -0.14 eV per atom. Its volume is 275 Å³ per cell. The polymorph energy (0 for the lowest one) is 54 meV per atom.

a b c (Å): 8.914 8.914 8.914
angles (deg): 141.25 141.25 55.96
Element x y z (fractional)
Li: 0.000 0.000 0.000
Li: 0.068 0.568 0.911
Li: 0.157 0.068 0.500
Li: 0.343 0.843 0.911
Li: 0.432 0.343 0.500
Li: 0.500 0.500 0.000
Li: 0.568 0.657 0.500
Li: 0.657 0.157 0.089
Li: 0.843 0.932 0.500
Li: 0.932 0.432 0.089
Cu: 0.250 0.750 0.500
Cu: 0.750 0.250 0.500
Pd: 0.151 0.349 0.500
Pd: 0.250 0.250 0.000
Pd: 0.349 0.849 0.198
Pd: 0.651 0.151 0.802
Pd: 0.750 0.750 0.000
Pd: 0.849 0.651 0.500

---

Entry 3:
Computed, not measured: crystalline AlFe2Hg at its relaxed geometry at the PBE level of DFT.

## Properties
The space group is Cmmm (65). The calculation puts the formation energy from the elements at 0.20 eV per atom. Its volume is 59 Å³ per cell.

a b c (Å): 4.788 4.788 2.785
angles (deg): 90.00 90.00 111.32
Element x y z (fractional)
Al: 0.000 0.000 0.000
Fe: 0.000 0.500 0.500
Fe: 0.500 0.000 0.500
Hg: 0.500 0.500 0.000

---

Entry 4:
Computed, not measured: crystalline LaSm2MgTl4 at its relaxed geometry at the PBE level of DFT.

## Properties
The space group is R-3m (166). The calculation puts the formation energy from the elements at -0.32 eV per atom. Its volume is 230 Å³ per cell.

a b c (Å): 9.800 9.800 9.800
angles (deg): 31.66 31.66 31.66
Element x y z (fractional)
La: 0.000 0.000 0.000
Sm: 0.241 0.241 0.241
Sm: 0.759 0.759 0.759
Mg: 0.500 0.500 0.500
Tl: 0.125 0.125 0.125
Tl: 0.378 0.378 0.378
Tl: 0.622 0.622 0.622
Tl: 0.875 0.875 0.875

---

Entry 5:
Computed, not measured: crystalline Li2AlHgS4 at its relaxed geometry at the PBE level of DFT.

## Properties
The space group is Fmm2 (42). Its volume is 175 Å³ per cell. As for the formation energy without anion corrections: -0.783 eV per atom.

a b c (Å): 7.037 7.032 5.461
angles (deg): 67.20 67.12 45.68
Element x y z (fractional)
Li: 0.000 0.000 0.500
Li: 0.500 0.500 0.000
Al: 0.250 0.250 0.750
Hg: 0.750 0.750 0.250
S: 0.146 0.599 0.401
S: 0.353 0.901 0.647
S: 0.599 0.146 0.854
S: 0.901 0.353 0.099

---

Entry 6:
Computed, not measured: crystalline PaGa2Ni3 at its relaxed geometry at the PBE level of DFT.

## Properties
The space group is Cmcm (63). The calculation puts the formation energy from the elements at -0.42 eV per atom. Its volume is 186 Å³ per cell. The polymorph energy (0 for the lowest one) is 0 meV per atom.

a b c (Å): 6.065 6.065 5.063
angles (deg): 90.00 90.00 88.98
Element x y z (fractional)
Pa: 0.242 0.758 0.750
Pa: 0.758 0.242 0.250
Ga: 0.259 0.259 0.000
Ga: 0.259 0.259 0.500
Ga: 0.741 0.741 0.000
Ga: 0.741 0.741 0.500
Ni: 0.050 0.591 0.250
Ni: 0.409 0.950 0.250
Ni: 0.447 0.553 0.250
Ni: 0.553 0.447 0.750
Ni: 0.591 0.050 0.750
Ni: 0.950 0.409 0.750

---

Entry 7:
Computed, not measured: crystalline AlAg3 at its relaxed geometry at the PBE level of DFT.

## Properties
The space group is Cmcm (63). The calculation puts the formation energy from the elements at -0.03 eV per atom. Its volume is 138 Å³ per cell.

a b c (Å): 5.677 5.677 4.365
angles (deg): 90.00 90.00 101.01
Element x y z (fractional)
Al: 0.178 0.822 0.750
Al: 0.822 0.178 0.250
Ag: 0.098 0.324 0.750
Ag: 0.324 0.098 0.250
Ag: 0.388 0.612 0.250
Ag: 0.612 0.388 0.750
Ag: 0.676 0.902 0.750
Ag: 0.902 0.676 0.250

---

Entry 8:
Computed, not measured: crystalline NaYMn2Mo at its relaxed geometry at the PBE level of DFT.

## Properties
The space group is P4/mmm (123). The calculation puts the formation energy from the elements at 2.32 eV per atom. Its volume is 118 Å³ per cell.

a b c (Å): 4.846 4.846 5.037
angles (deg): 90.00 90.00 90.00
Element x y z (fractional)
Na: 0.000 0.000 0.000
Y: 0.500 0.500 0.500
Mn: 0.000 0.500 0.500
Mn: 0.500 0.000 0.500
Mo: 0.500 0.500 0.000

---

Number 1: magnetization 3.7 μB/f.u.. Number 2: magnetization 0.0 μB/f.u.. Number 3: magnetization 4.8 μB/f.u.. Number 4: magnetization 0.0 μB/f.u.. Number 5: magnetization 0.0 μB/f.u.. Number 6: magnetization 0.0 μB/f.u.. Number 7: magnetization 0.0 μB/f.u.. Number 8: magnetization 2.6 μB/f.u..